The following is a DFT calculation (PBE+U) of a geometry-optimized Nd5Te7WCl3O23 structure.

Cell: 10.0468 10.0468 18.7008 Å, 87.57 87.57 135.03°
With the nearest neighbours (Å) after each atom.
Fractional coordinates of all 78 atoms:
O (0.1379, 0.1794, 0.9087)  1 W 1.79
O (0.2870, 0.9142, 0.3805)  1 Te 1.88
O (0.2230, 0.5169, 0.8339)  1 Te 1.90
O (0.1912, 0.8817, 0.1588)  1 Te 1.93
O (0.8343, 0.5250, 0.7383)  1 Te 1.93
O (0.5810, 0.9572, 0.3083)  1 Te 1.92
O (0.4235, 0.0415, 0.6949)  1 Te 1.90
O (0.4750, 0.1657, 0.2617)  1 Te 1.93
O (0.9074, 0.0387, 0.6866)  1 Te 1.91
O (0.7089, 0.8769, 0.9623)  1 W 1.82
O (0.1183, 0.8088, 0.8412)  1 Te 1.93
O (0.2262, 0.2194, 0.1889)  1 Te 1.91
O (0.6027, 0.1135, 0.1615)  1 Te 1.93
O (0.5108, 0.5196, 0.9309)  1 W 1.94
O (0.0980, 0.9380, 0.2985)  2 Te 1.95-2.12
O (0.8559, 0.1127, 0.8211)  1 Te 1.93
O (0.6958, 0.3738, 0.6113)  2 Te 1.97-2.19
O (0.9104, 0.2727, 0.3888)  1 Te 1.89
O (0.1574, 0.4641, 0.2677)  1 Te 1.92
O (0.7273, 0.0896, 0.6112)  1 Te 1.89
O (0.9613, 0.0926, 0.3134)  1 Te 1.91
O (0.7790, 0.5262, 0.1495)  1 Te 1.88
O (0.9585, 0.5765, 0.3051)  1 Te 1.90
O (0.4411, 0.0760, 0.5404)  1 Te 1.89
O (0.2857, 0.1318, 0.0265)  1 W 1.81
O (0.6262, 0.3042, 0.3887)  2 Te 1.97-2.19
O (0.4738, 0.2210, 0.8505)  1 Te 1.88
O (0.8873, 0.1441, 0.1789)  1 Te 1.93
O (0.9240, 0.5589, 0.4596)  1 Te 1.89
O (0.4804, 0.4892, 0.0691)  1 W 1.94
O (0.8206, 0.8621, 0.0913)  1 W 1.79
O (0.0620, 0.9020, 0.7015)  2 Te 1.95-2.12
O (0.4831, 0.7770, 0.1661)  1 Te 1.90
O (0.7806, 0.7738, 0.8111)  1 Te 1.91
O (0.3657, 0.7017, 0.6114)  2 Te 1.97-2.12
O (0.0712, 0.4465, 0.5348)  1 Te 1.90
O (0.0858, 0.7130, 0.6195)  1 Te 1.88
O (0.4678, 0.9436, 0.8391)  1 Te 1.93
O (0.5535, 0.9288, 0.4652)  1 Te 1.90
O (0.8865, 0.3973, 0.8385)  1 Te 1.93
O (0.1231, 0.2911, 0.0377)  1 W 1.82
O (0.0428, 0.4190, 0.6917)  1 Te 1.92
O (0.2983, 0.6343, 0.3886)  2 Te 1.97-2.12
O (0.5359, 0.8426, 0.7323)  1 Te 1.92
O (0.0564, 0.5322, 0.1609)  1 Te 1.93
O (0.8682, 0.7143, 0.9735)  1 W 1.81
Cl (0.4411, 0.4511, 0.7081)  5 Te 3.14-3.39, 2 O 3.36-3.39
Cl (0.4744, 0.5256, 0.5000)  2 Te 3.08, 2 O 3.39
Cl (0.3089, 0.6911, 0.0000)  4 O 3.03-3.35, 2 Nd 3.16, 2 Te 3.26
Cl (0.6971, 0.3029, 0.0000)  2 Nd 3.03, 4 O 3.16-3.22
Cl (0.0552, 0.9448, 0.5000)  1 Nd 3.21, 4 O 3.23-3.34, 4 Te 3.32-3.59
Cl (0.5489, 0.5589, 0.2919)  5 Te 3.14-3.39, 2 O 3.36-3.39
Te (0.9834, 0.3089, 0.8854)  3 O 1.90-1.93
Te (0.8293, 0.5825, 0.3800)  3 O 1.89-1.97
Te (0.6406, 0.8546, 0.6409)  2 O 1.89-1.92
Te (0.6911, 0.0166, 0.1146)  3 O 1.90-1.93
Te (0.1737, 0.4246, 0.6120)  3 O 1.90-1.97
Te (0.0085, 0.0132, 0.7639)  3 O 1.91-1.95
Te (0.3311, 0.9771, 0.8965)  3 O 1.88-1.93
Te (0.3474, 0.1346, 0.3506)  2 O 1.88-1.93
Te (0.0229, 0.6689, 0.1035)  3 O 1.88-1.93
Te (0.8654, 0.6526, 0.6494)  2 O 1.88-1.93
Te (0.9868, 0.9915, 0.2361)  3 O 1.91-1.95
Te (0.4175, 0.1707, 0.6200)  3 O 1.89-1.97
Te (0.1454, 0.3594, 0.3591)  2 O 1.89-1.92
Te (0.5754, 0.8263, 0.3880)  3 O 1.90-1.97
Nd (0.7220, 0.1969, 0.7372)  7 O 2.35-2.62
Nd (0.7643, 0.5333, 0.8665)  6 O 2.38-2.52
Nd (0.1977, 0.7119, 0.7416)  6 O 2.41-2.68
Nd (0.2881, 0.8023, 0.2584)  6 O 2.41-2.68
Nd (0.4667, 0.2357, 0.1335)  6 O 2.38-2.52
Nd (0.8031, 0.2780, 0.2628)  7 O 2.35-2.62
Nd (0.2284, 0.7716, 0.5000)  6 O 2.36-2.45
Nd (0.2374, 0.4572, 0.1415)  7 O 2.37-2.59
Nd (0.7582, 0.2418, 0.5000)  6 O 2.38-2.40
Nd (0.5428, 0.7626, 0.8585)  7 O 2.37-2.59
W (0.7101, 0.7235, 0.0168)  4 O 1.79-1.94
W (0.2765, 0.2899, 0.9832)  4 O 1.79-1.94

The calculation puts the spin magnetization at 0.003 μB per cell. For the density of states at the Fermi level, the calculation gives 0.0 states/eV/cell. As for the space group: No. 5. The calculated total energy comes out at -498.34 eV/cell.